No. 1
This record from the Alexandria database describes a geometry-optimized HoCdIrO6 structure. The functional is GGA-PBE.

The space group is P-31c (No. 163) and the conventional cell measures 5.5455, 5.5455 and 9.1487 Å, with angles of 90.00, 90.00 and 120.00 degrees. The asymmetric unit holds Ho at (0.3333, 0.6667, 0.2500), Cd at (0.0000, 0.0000, 0.0000), Ir at (0.3333, 0.6667, 0.7500) and O at (0.0416, 0.3822, 0.6319).

Its density of states at the Fermi level is 0.62 states/eV/atom. The total energy comes out at -6.318 eV/atom. For the volume, the calculation gives 13.5 A^3/atom. The calculation puts the theoretical density at 7.71 g cm⁻³. Its spin magnetization is 2.65 Bohr magnetons per cell.

---

No. 2
This record from the Alexandria database describes a geometry-optimized CaAcSbRh structure. The functional is GGA-PBE.

The space group is F-43m (No. 216) and the conventional cell measures 7.6049, 7.6049 and 7.6049 Å, with angles of 90.00, 90.00 and 90.00 degrees. The asymmetric unit holds Ca at (0.0000, 0.0000, 0.0000), Ac at (0.0000, 0.0000, 0.5000), Sb at (0.2500, 0.2500, 0.7500) and Rh at (0.2500, 0.2500, 0.2500).

Its density of states at the Fermi level is 0.98 states/eV/atom. The total energy comes out at -4.974 eV/atom. For the volume, the calculation gives 27.5 A^3/atom. The calculation puts the theoretical density at 7.43 g cm⁻³. Its spin magnetization is 0.01 Bohr magnetons per cell.

---

No. 3
This record from the Alexandria database describes a geometry-optimized SmAlPt structure. The functional is GGA-PBE.

The space group is P-6m2 (No. 187) and the conventional cell measures 4.4031, 4.4031 and 3.8905 Å, with angles of 90.00, 90.00 and 120.00 degrees. The asymmetric unit holds Sm at (0.0000, 0.0000, 0.0000), Al at (0.6667, 0.3333, 0.5000) and Pt at (0.3333, 0.6667, 0.5000).

Its density of states at the Fermi level is 0.63 states/eV/atom. Its formation energy is -987 meV/atom. The total energy comes out at -5.821 eV/atom. For the volume, the calculation gives 21.8 A^3/atom. The calculation puts the theoretical density at 9.47 g cm⁻³. Its spin magnetization is 0.00 Bohr magnetons per cell.

---

No. 4
This record from the Alexandria database describes a geometry-optimized LiZn4Ir structure. The functional is GGA-PBE.

The space group is Cmmm (No. 65) and the conventional cell measures 4.2838, 7.3348 and 5.4241 Å, with angles of 90.00, 90.00 and 90.00 degrees. The asymmetric unit holds Li at (0.0000, 0.0000, 0.0000), Zn at (0.0000, 0.3328, 0.2605) and Ir at (0.0000, 0.0000, 0.5000).

Its density of states at the Fermi level is 0.33 states/eV/atom. Its formation energy is -200 meV/atom. The total energy comes out at -2.845 eV/atom. For the volume, the calculation gives 14.2 A^3/atom. As for the offset from the most stable computed form: 11 meV per atom. The calculation puts the theoretical density at 8.98 g cm⁻³. Its spin magnetization is 0.00 Bohr magnetons per cell.